# 1
# La5PmCd6, optimized geometry, DFT PBE
# Formation enthalpy at 0 K (meV per atom): -326
# Magnetic moment (μB per atom): 0.15
# Energy (eV per atom): -3.233
data_La5PmCd6
_chemical_formula_sum 'La10 Pm2 Cd12'
_symmetry_space_group_name_H-M 'C m m m'
_symmetry_Int_Tables_number 65
_symmetry_space_group_name_Hall '-C 2 2'
_cell_length_a 5.527
_cell_length_b 16.609
_cell_length_c 7.867
_cell_angle_alpha 90.00
_cell_angle_beta 90.00
_cell_angle_gamma 90.00
loop_
_atom_site_label
_atom_site_type_symbol
_atom_site_fract_x
_atom_site_fract_y
_atom_site_fract_z
La1 La 0.000 0.000 0.000
La2 La 0.000 0.331 0.000
La3 La 0.000 0.333 0.500
Pm1 Pm 0.000 0.000 0.500
Cd1 Cd 0.000 0.164 0.254
Cd2 Cd 0.000 0.500 0.255

# 2
# CeY4Ho2, optimized geometry, DFT PBE
# Formation enthalpy at 0 K (meV per atom): 35
# Energy above the most stable polymorph in this dataset (kJ/mol of atoms): 0.0
# Magnetic moment (μB per atom): 0.10
# Energy (eV per atom): -5.814
data_CeY4Ho2
_chemical_formula_sum 'Ce2 Y8 Ho4'
_symmetry_space_group_name_H-M 'C 1 m 1'
_symmetry_Int_Tables_number 8
_cell_length_a 6.221
_cell_length_b 3.593
_cell_length_c 20.128
_cell_angle_alpha 90.00
_cell_angle_beta 95.92
_cell_angle_gamma 90.00
loop_
_symmetry_equiv_pos_as_xyz
'x,y,z'
'x,-y,z'
'x+1/2,y+1/2,z'
'x+1/2,-y+1/2,z'
loop_
_atom_site_label
_atom_site_type_symbol
_atom_site_fract_x
_atom_site_fract_y
_atom_site_fract_z
Ce1 Ce 0.000 0.000 0.000
Y1 Y 0.098 0.000 0.287
Y2 Y 0.119 0.500 0.856
Y3 Y 0.192 0.000 0.571
Y4 Y 0.215 0.500 0.144
Ho1 Ho 0.312 0.500 0.430
Ho2 Ho 0.405 0.500 0.714

# 3
# AcMgFeH6, optimized geometry, DFT PBE
# Magnetic moment (μB per atom): 0.00
# Energy (eV per atom): -4.151
data_AcMgFeH6
_chemical_formula_sum 'Ac1 Mg1 Fe1 H6'
_symmetry_space_group_name_H-M 'P -6 m 2'
_symmetry_Int_Tables_number 187
_symmetry_space_group_name_Hall 'P -6 2'
_cell_length_a 4.7065
_cell_length_b 4.7065
_cell_length_c 4.6198
_cell_angle_alpha 90.00
_cell_angle_beta 90.00
_cell_angle_gamma 120.00
loop_
_atom_site_label
_atom_site_type_symbol
_atom_site_fract_x
_atom_site_fract_y
_atom_site_fract_z
Ac1 Ac 0.0000 0.0000 0.0000
Mg1 Mg 0.3333 0.6667 0.5000
Fe1 Fe 0.6667 0.3333 0.5000
H1 H 0.5252 0.0503 0.2542

# 4
# Co3BiPd, optimized geometry, DFT PBE
# Formation enthalpy at 0 K (meV per atom): 1617
# Energy above the most stable polymorph in this dataset (kJ/mol of atoms): 49.6
# Magnetic moment (μB per atom): 0.90
# Energy (eV per atom): -4.461
data_Co3BiPd
_chemical_formula_sum 'Co3 Bi1 Pd1'
_symmetry_space_group_name_H-M 'P m -3 m'
_symmetry_Int_Tables_number 221
_symmetry_space_group_name_Hall '-P 4 2 3'
_cell_length_a 4.745
_cell_length_b 4.745
_cell_length_c 4.745
_cell_angle_alpha 90.00
_cell_angle_beta 90.00
_cell_angle_gamma 90.00
loop_
_atom_site_label
_atom_site_type_symbol
_atom_site_fract_x
_atom_site_fract_y
_atom_site_fract_z
Co1 Co 0.000 0.000 0.500
Bi1 Bi 0.000 0.000 0.000
Pd1 Pd 0.500 0.500 0.500

# 5
# SrLaFe3, optimized geometry, DFT PBE
# Formation enthalpy at 0 K (meV per atom): 1564
# Energy above the most stable polymorph in this dataset (kJ/mol of atoms): 34.7
# Magnetic moment (μB per atom): 1.50
# Energy (eV per atom): -4.836
data_SrLaFe3
_chemical_formula_sum 'Sr1 La1 Fe3'
_symmetry_space_group_name_H-M 'P m -3 m'
_symmetry_Int_Tables_number 221
_symmetry_space_group_name_Hall '-P 4 2 3'
_cell_length_a 5.037
_cell_length_b 5.037
_cell_length_c 5.037
_cell_angle_alpha 90.00
_cell_angle_beta 90.00
_cell_angle_gamma 90.00
loop_
_atom_site_label
_atom_site_type_symbol
_atom_site_fract_x
_atom_site_fract_y
_atom_site_fract_z
Sr1 Sr 0.000 0.000 0.000
La1 La 0.500 0.500 0.500
Fe1 Fe 0.000 0.000 0.500

# 6
# MnRe2SbTe, optimized geometry, DFT PBE
# ΔE_f (raw) (eV/atom): 2.916
# Magnetic moment (μB per atom): 0.06
# Energy (eV per atom): -5.350
data_MnRe2SbTe
_chemical_formula_sum 'Mn1 Re2 Sb1 Te1'
_symmetry_space_group_name_H-M 'P 4/m m m'
_symmetry_Int_Tables_number 123
_symmetry_space_group_name_Hall '-P 4 2'
_cell_length_a 4.879
_cell_length_b 4.879
_cell_length_c 5.518
_cell_angle_alpha 90.00
_cell_angle_beta 90.00
_cell_angle_gamma 90.00
loop_
_atom_site_label
_atom_site_type_symbol
_atom_site_fract_x
_atom_site_fract_y
_atom_site_fract_z
Mn1 Mn 0.000 0.000 0.000
Re1 Re 0.000 0.500 0.500
Sb1 Sb 0.500 0.500 0.500
Te1 Te 0.500 0.500 0.000

# 7
# La2Tb4Bi3N2, optimized geometry, DFT PBE
# ΔE_f (raw) (eV/atom): -1.096
# Magnetic moment (μB per atom): 0.00
# Energy (eV per atom): -6.247
data_La2Tb4Bi3N2
_chemical_formula_sum 'La4 Tb8 Bi6 N4'
_symmetry_space_group_name_H-M 'I 4/m m m'
_symmetry_Int_Tables_number 139
_symmetry_space_group_name_Hall '-I 4 2'
_cell_length_a 4.764
_cell_length_b 4.764
_cell_length_c 26.384
_cell_angle_alpha 90.00
_cell_angle_beta 90.00
_cell_angle_gamma 90.00
loop_
_atom_site_label
_atom_site_type_symbol
_atom_site_fract_x
_atom_site_fract_y
_atom_site_fract_z
La1 La 0.000 0.000 0.190
Tb1 Tb 0.000 0.500 0.082
Bi1 Bi 0.000 0.000 0.324
Bi2 Bi 0.000 0.000 0.500
N1 N 0.000 0.000 0.100

# 8
# LaInPO2, optimized geometry, DFT PBE
# Energy above the most stable polymorph in this dataset (kJ/mol of atoms): 15.0
# ΔE_f (raw) (eV/atom): -0.983
# Magnetic moment (μB per atom): 0.13
# Energy (eV per atom): -5.581
data_LaInPO2
_chemical_formula_sum 'La1 In1 P1 O2'
_symmetry_space_group_name_H-M 'P 4/m m m'
_symmetry_Int_Tables_number 123
_symmetry_space_group_name_Hall '-P 4 2'
_cell_length_a 4.264
_cell_length_b 4.264
_cell_length_c 6.434
_cell_angle_alpha 90.00
_cell_angle_beta 90.00
_cell_angle_gamma 90.00
loop_
_atom_site_label
_atom_site_type_symbol
_atom_site_fract_x
_atom_site_fract_y
_atom_site_fract_z
La1 La 0.000 0.000 0.000
In1 In 0.500 0.500 0.500
P1 P 0.000 0.000 0.500
O1 O 0.000 0.500 0.000